PuSnH: optimized geometry, GGA-PBE.

```
PuSnH
1.0
-0.240 -4.416 -0.604
3.150 0.260 -3.151
1.037 1.607 4.329
H Sn Pu
1 1 1
direct
0.967 0.967 0.933 H
0.223 0.223 0.446 Sn
0.660 0.660 0.321 Pu
```

Output
- E (eV per atom) = -7.015
- polymorph energy (0 for the lowest one) (meV per atom) = 593
- spin magnetization (μB per cell) = 5.40
- Fermi-level density of states (states/eV/f.u.) = 14.8
- space group = I4mm, No. 107